Entry from Alexandria: a crystal of CrCd2Ru relaxed with PBEsol (SCAN).

Properties
energy of formation from the pure elements	452	meV per atom
ρ	9.77	Mg/m³

Lattice parameters (Å, degrees): 9.4040 9.4040 9.4040 17.31 17.31 17.31
Last column: nearest neighbours and their distance in Å.
Sites, in units of the cell vectors:
Cr1 0.0000 0.0000 0.0000  6 Cr 2.83, 6 Cd 2.84
Cd1 0.2498 0.2498 0.2498  3 Ru 2.83, 6 Cd 2.83, 3 Cr 2.84
Cd2 0.7502 0.7502 0.7502  3 Ru 2.83, 6 Cd 2.83, 3 Cr 2.84
Ru1 0.5000 0.5000 0.5000  6 Cd 2.83, 6 Ru 2.83

***

Entry from Alexandria: a crystal of RuRhW2 relaxed with PBEsol (SCAN).

Properties
energy of formation from the pure elements	-29	meV per atom
ρ	16.40	Mg/m³

Lattice parameters (Å, degrees): 2.7653 4.4156 4.7416 90.00 90.00 90.00
Last column: nearest neighbours and their distance in Å.
Sites, in units of the cell vectors:
Ru1 0.0000 0.0000 0.0000  8 W 2.69-2.76, 2 Ru 2.77, 2 Rh 2.79
Rh1 0.0000 0.5000 0.3610  8 W 2.69-2.74, 2 Rh 2.77, 2 Ru 2.79
W1 0.5000 0.0000 0.5038  4 Rh 2.69, 4 Ru 2.73-2.76, 4 W 2.77-2.78
W2 0.5000 0.5000 0.8610  4 Ru 2.69, 4 Rh 2.74, 4 W 2.77-2.78

***

What is the formula in the first record?
CrCd2Ru